The following is a DFT calculation (PBE-GGA) of crystalline LaCSe at its relaxed geometry.

abc: 6.0131 4.3404 14.7633
angles: 90.00 110.55 90.00
Element x y z (fractional)
C1 0.1319 0.0000 0.6949
C2 0.1319 0.5000 0.1949
C3 0.9079 0.0000 0.6654
C4 0.9079 0.5000 0.1654
Se1 0.4134 0.0000 0.0935
Se2 0.4134 0.5000 0.5935
Se3 0.7420 0.0000 0.3989
Se4 0.7420 0.5000 0.8989
La1 0.8819 0.0000 0.0555
La2 0.8819 0.5000 0.5555
La3 0.5845 0.0000 0.7433
La4 0.5845 0.5000 0.2433

Computed properties:
DFT total energy = -6.83 eV/atom
ΔE_f (raw) = -956 meV/atom
Magnetization = 0.0 μB per cell
Space group = No. 8